<one>
ZrAgMo2 | GGA-PBEsol | optimized geometry

Geometry as CIF:
```
data_ZrAgMo2
_symmetry_space_group_name_H-M 'R -3 m'
_symmetry_Int_Tables_number 166
_symmetry_space_group_name_Hall '-R 3 2"'
_cell_length_a 2.7775
_cell_length_b 2.7775
_cell_length_c 30.4360
_cell_angle_alpha 90.00
_cell_angle_beta 90.00
_cell_angle_gamma 120.00
loop_
_atom_site_label
_atom_site_type_symbol
_atom_site_fract_x
_atom_site_fract_y
_atom_site_fract_z
_atom_site_occupancy
Zr1 Zr 0.0000 0.0000 0.0000 1
Ag1 Ag 0.0000 0.0000 0.5000 1
Mo1 Mo 0.0000 0.0000 0.2461 1
```

Computed properties:
Crystal system = trigonal
Spin magnetization = 0.0 μB/cell



<two>
ZrAgMo2 | GGA-PBEsol | optimized geometry

Geometry as CIF:
```
data_ZrAgMo2
_symmetry_space_group_name_H-M 'C m m m'
_symmetry_Int_Tables_number 65
_symmetry_space_group_name_Hall '-C 2 2'
_cell_length_a 5.622
_cell_length_b 9.073
_cell_length_c 2.641
_cell_angle_alpha 90.00
_cell_angle_beta 90.00
_cell_angle_gamma 90.00
loop_
_atom_site_label
_atom_site_type_symbol
_atom_site_fract_x
_atom_site_fract_y
_atom_site_fract_z
_atom_site_occupancy
Zr1 Zr 0.000 0.000 0.000 1
Ag1 Ag 0.000 0.500 0.000 1
Mo1 Mo 0.250 0.250 0.500 1
```

Computed properties:
Crystal system = orthorhombic
Spin magnetization = 0.0 μB/cell



The structure shown above that is most stable: <two>.